This record from the Alexandria database describes a geometry-optimized PaVNiO6 structure. The functional is PBE with a Hubbard U.

Cell lengths 5.3781, 5.3781, 8.6304 Å; angles 90.00, 90.00, 120.00 degrees
Atoms (fractional coordinates):
O (0.6349, 0.6728, 0.6307)
O (0.3651, 0.0379, 0.1307)
O (0.6728, 0.0379, 0.3693)
O (0.0379, 0.3651, 0.6307)
O (0.3272, 0.9621, 0.6307)
O (0.3651, 0.3272, 0.3693)
O (0.9621, 0.6349, 0.3693)
O (0.3272, 0.3651, 0.8693)
O (0.6728, 0.6349, 0.1307)
O (0.9621, 0.3272, 0.1307)
O (0.6349, 0.9621, 0.8693)
O (0.0379, 0.6728, 0.8693)
Pa (0.3333, 0.6667, 0.2500)
Pa (0.6667, 0.3333, 0.7500)
Ni (0.0000, 0.0000, 0.5000)
Ni (0.0000, 0.0000, 0.0000)
V (0.6667, 0.3333, 0.2500)
V (0.3333, 0.6667, 0.7500)

Properties
**Total moment**: 2.007 μB per formula unit
**E**: -69.2 eV/f.u.